1.
The following is a DFT calculation (PBE-GGA) of Na2GaPbS4 after structural relaxation.

The structure belongs to space group I-42m (No. 121); the cell edges are 7.562, 7.562 and 6.912 Å and the angles 90.00°, 90.00° and 90.00°. The distinct sites, in fractional coordinates, are Na at (0.000, 0.500, 0.250), Ga at (0.000, 0.000, 0.000), Pb at (0.000, 0.000, 0.500) and S at (0.173, 0.173, 0.798).

The magnetic moment comes out at 0.76 μB/f.u. The density comes out at 3791 kg/m³. The value obtained for the calculated volume is 24.70 Å³/atom. The uncorrected formation energy is -686 meV/atom.

***

2.
The following is a DFT calculation (PBE-GGA) of RbAlV3 after structural relaxation.

The structure belongs to space group Pm-3m (No. 221); the cell edges are 5.135, 5.135 and 5.135 Å and the angles 90.00°, 90.00° and 90.00°. The distinct sites, in fractional coordinates, are Rb at (0.000, 0.000, 0.000), Al at (0.500, 0.500, 0.500) and V at (0.000, 0.500, 0.500).

The magnetic moment comes out at 11.06 μB/f.u. For the polymorph energy (0 for the lowest one), the calculation gives 0.000 eV per formula unit. The density comes out at 3254 kg/m³. The value obtained for the calculated volume is 27.07 Å³/atom. The formation energy comes out at 1.42 eV per atom.

***

3.
The following is a DFT calculation (PBE-GGA) of Pr5Hg2N after structural relaxation.

The structure belongs to space group Cmcm (No. 63); the cell edges are 5.045, 16.702 and 12.682 Å and the angles 90.00°, 90.00° and 90.00°. The distinct sites, in fractional coordinates, are Pr at (0.000, 0.089, 0.108), Pr at (0.000, 0.292, 0.750), Pr at (0.000, 0.298, 0.089), Hg at (0.000, 0.098, 0.638) and N at (0.000, 0.188, 0.250).

The magnetic moment comes out at 0.00 μB/f.u. The density comes out at 6959 kg/m³. The value obtained for the calculated volume is 33.40 Å³/atom. The uncorrected formation energy is -263 meV/atom.

***

4.
The following is a DFT calculation (PBE-GGA) of KSrRe2Te after structural relaxation.

The structure belongs to space group P4/mmm (No. 123); the cell edges are 5.958, 5.958 and 6.224 Å and the angles 90.00°, 90.00° and 90.00°. The distinct sites, in fractional coordinates, are K at (0.000, 0.000, 0.000), Sr at (0.500, 0.500, 0.500), Re at (0.000, 0.500, 0.500) and Te at (0.500, 0.500, 0.000).

The magnetic moment comes out at 9.01 μB/f.u. The density comes out at 4711 kg/m³. The value obtained for the calculated volume is 44.18 Å³/atom. The uncorrected formation energy is 2134 meV/atom.

***

5.
The following is a DFT calculation (PBE-GGA) of Zr8TlGa2 after structural relaxation.

The structure belongs to space group C2/m (No. 12); the cell edges are 7.938, 12.881 and 5.209 Å and the angles 90.00°, 111.33° and 90.00°. The distinct sites, in fractional coordinates, are Zr at (0.000, 0.236, 0.000), Zr at (0.086, 0.500, 0.798), Zr at (0.200, 0.120, 0.619), Tl at (0.000, 0.000, 0.000) and Ga at (0.000, 0.308, 0.500).

The magnetic moment comes out at 0.00 μB/f.u. The density comes out at 7186 kg/m³. The value obtained for the calculated volume is 22.55 Å³/atom. The formation energy comes out at -0.11 eV per atom.

***

6.
The following is a DFT calculation (PBE-GGA) of SrTh2TcN4 after structural relaxation.

The structure belongs to space group Cmcm (No. 63); the cell edges are 3.666, 12.200 and 12.663 Å and the angles 90.00°, 90.00° and 90.00°. The distinct sites, in fractional coordinates, are Sr at (0.000, 0.070, 0.250), Th at (0.000, 0.366, 0.051), Tc at (0.000, 0.189, 0.750), N at (0.000, 0.000, 0.000), N at (0.000, 0.253, 0.605) and N at (0.000, 0.395, 0.250).

The magnetic moment comes out at 0.00 μB/f.u. The density comes out at 8276 kg/m³. The value obtained for the calculated volume is 17.70 Å³/atom. The uncorrected formation energy is -986 meV/atom.

***

7.
The following is a DFT calculation (PBE-GGA) of Sm2ErLu after structural relaxation.

The structure belongs to space group P4/mmm (No. 123); the cell edges are 5.053, 5.053 and 4.971 Å and the angles 90.00°, 90.00° and 90.00°. The distinct sites, in fractional coordinates, are Sm at (0.000, 0.500, 0.000), Er at (0.000, 0.000, 0.500) and Lu at (0.500, 0.500, 0.500).

The magnetic moment comes out at 0.00 μB/f.u. For the polymorph energy (0 for the lowest one), the calculation gives 0.014 eV per formula unit. The density comes out at 8410 kg/m³. The value obtained for the calculated volume is 31.74 Å³/atom. The formation energy comes out at 0.02 eV per atom.

***

8.
The following is a DFT calculation (PBE-GGA) of CeCdAs2 after structural relaxation.

The structure belongs to space group P4/nmm (No. 129, origin choice 2); the cell edges are 4.079, 4.079 and 10.821 Å and the angles 90.00°, 90.00° and 90.00°. The distinct sites, in fractional coordinates, are Ce at (0.250, 0.250, 0.213), Cd at (0.250, 0.750, 0.500), As at (0.250, 0.250, 0.720) and As at (0.250, 0.750, 0.000).

The magnetic moment comes out at 0.00 μB/f.u. For the polymorph energy (0 for the lowest one), the calculation gives 0.132 eV per formula unit. The density comes out at 7421 kg/m³. The value obtained for the calculated volume is 22.51 Å³/atom. The formation energy comes out at -0.69 eV per atom.

***

9.
The following is a DFT calculation (PBE-GGA) of CsRb2HBr6 after structural relaxation.

The structure belongs to space group I4/mmm (No. 139); the cell edges are 7.739, 7.739 and 14.538 Å and the angles 90.00°, 90.00° and 90.00°. The distinct sites, in fractional coordinates, are Cs at (0.000, 0.000, 0.000), Rb at (0.000, 0.500, 0.250), H at (0.000, 0.000, 0.500), Br at (0.000, 0.000, 0.238) and Br at (0.195, 0.195, 0.500).

The magnetic moment comes out at 1.96 μB/f.u. The density comes out at 2991 kg/m³. The value obtained for the calculated volume is 43.54 Å³/atom. The calculation puts the total energy at -2.3142 eV per atom.

***

10.
The following is a DFT calculation (PBE-GGA) of CeTm5As6 after structural relaxation.

The structure belongs to space group C2/m (No. 12); the cell edges are 7.080, 12.260 and 7.083 Å and the angles 90.00°, 109.48° and 90.00°. The distinct sites, in fractional coordinates, are Ce at (0.000, 0.000, 0.000), Tm at (0.000, 0.166, 0.500), Tm at (0.000, 0.333, 0.000), Tm at (0.000, 0.500, 0.500), As at (0.247, 0.500, 0.251) and As at (0.248, 0.332, 0.747).

The magnetic moment comes out at 0.50 μB/f.u. The density comes out at 8218 kg/m³. The value obtained for the calculated volume is 24.15 Å³/atom. The formation energy comes out at -1.49 eV per atom.

***

11.
The following is a DFT calculation (PBE-GGA) of PrInHg3 after structural relaxation.

The structure belongs to space group P2_1/m (No. 11); the cell edges are 4.902, 4.829 and 11.235 Å and the angles 90.00°, 102.49° and 90.00°. The distinct sites, in fractional coordinates, are Pr at (0.147, 0.250, 0.295), In at (0.341, 0.250, 0.684), Hg at (0.048, 0.750, 0.092), Hg at (0.251, 0.750, 0.501) and Hg at (0.448, 0.750, 0.899).

The magnetic moment comes out at 0.00 μB/f.u. For the polymorph energy (0 for the lowest one), the calculation gives 0.000 eV per formula unit. The density comes out at 10968 kg/m³. The value obtained for the calculated volume is 25.97 Å³/atom. The formation energy comes out at -0.33 eV per atom.